Record 1
Cu2PbAu GGA-PBEsol relaxed; energy of formation = 188 meV/atom; VASP energy = -3.960 eV per atom; space-group type = Imm2 (44); crystal system = orthorhombic
1.0
-1.699 2.176 4.462
1.699 -2.176 4.462
1.699 2.176 -4.462
Cu Pb Au
2 1 1
direct
0.000 0.000 0.000
0.788 0.288 0.500
0.270 0.770 0.500
0.546 0.546 0.000

=====

Record 2
BaNa2Pb2 GGA-PBEsol relaxed; energy of formation = -261 meV/atom; VASP energy = -2.850 eV per atom; space-group type = P4/mbm (127); E above lowest polymorph = 0.19 eV per formula unit; crystal system = tetragonal
1.0
9.417 0.000 0.000
0.000 9.417 0.000
0.000 0.000 3.414
Ba Na Pb
2 4 4
direct
0.000 0.000 0.000
0.500 0.500 0.000
0.116 0.384 0.000
0.384 0.884 0.000
0.616 0.116 0.000
0.884 0.616 0.000
0.180 0.680 0.500
0.320 0.180 0.500
0.680 0.820 0.500
0.820 0.320 0.500